Density functional theory data (PBE) for a relaxed structure of Gd3TcO.

Summary:
total moment	21.11	μB per cell
calculated volume	21.3	Å³ per atom
formation energy (no corrections)	-1.00	eV/atom
N(E_F)	3.40	states/eV per cell
E	-12.51	eV/atom
mass density	9.1	g cm⁻³

Lattice parameters (Å, degrees): 4.7396 4.7396 4.7396 90.00 90.00 90.00
Element x y z (fractional)
1 Gd 0.0000 0.0000 0.5000
2 Gd 0.0000 0.5000 0.0000
3 Gd 0.5000 0.0000 0.0000
4 Tc 0.5000 0.5000 0.5000
5 O 0.0000 0.0000 0.0000